{"formula": "Ba2Ag5Au", "functional": "PBE", "state": "relaxed", "vol_a3_per_fu": 215.60, "crystal_system": "orthorhombic", "formation_energy_ev_per_fu": -2.20, "lattice_angstrom": [[4.786, 0.000, 0.000], [-2.393, 8.909, 0.000], [0.000, 0.000, 10.113]], "species": ["Au", "Ba", "Ag", "Ba", "Ag", "Ba", "Ag", "Ba", "Ag", "Ag", "Au", "Ag", "Ag", "Ag", "Ag", "Ag"], "frac_coords": [[0.560, 0.120, 0.250], [0.000, 0.000, 0.000], [0.819, 0.637, 0.113], [0.796, 0.593, 0.750], [0.655, 0.311, 0.479], [0.204, 0.407, 0.250], [0.600, 0.201, 0.750], [0.000, 0.000, 0.500], [0.655, 0.311, 0.021], [0.345, 0.689, 0.521], [0.440, 0.880, 0.750], [0.345, 0.689, 0.979], [0.819, 0.637, 0.387], [0.181, 0.363, 0.887], [0.400, 0.799, 0.250], [0.181, 0.363, 0.613]]}

{"formula": "Pr8HIr5", "functional": "PBE", "state": "relaxed", "vol_a3_per_fu": 355.01, "crystal_system": "tetragonal", "final_energy_ev_per_atom": -6.662, "lattice_angstrom": [[-4.115, -3.782, -5.335], [-1.463, -2.868, 7.024], [-1.979, 7.464, -0.298]], "species": ["Pr", "Ir", "Ir", "Pr", "Ir", "Pr", "Ir", "Pr", "Pr", "Pr", "Pr", "Pr", "Ir", "H"], "frac_coords": [[0.111, 0.759, 0.483], [0.868, 0.879, 0.238], [0.500, 0.000, 0.500], [0.138, 0.747, 0.999], [0.762, 0.630, 0.641], [0.251, 0.253, 0.390], [0.359, 0.121, 0.989], [0.610, 0.861, 0.862], [0.001, 0.139, 0.749], [0.724, 0.241, 0.352], [0.517, 0.628, 0.276], [0.648, 0.372, 0.889], [0.011, 0.370, 0.132], [0.250, 0.500, 0.750]]}

{"formula": "HfMn4Mo", "functional": "PBE", "state": "relaxed", "vol_a3_per_fu": 79.43, "crystal_system": "cubic", "formation_energy_ev_per_fu": -0.65, "lattice_angstrom": [[4.825, 0.000, 0.000], [2.413, 4.179, 0.000], [2.413, 1.393, 3.940]], "species": ["Mn", "Mn", "Hf", "Mn", "Mn", "Mo"], "frac_coords": [[0.624, 0.624, 0.127], [0.624, 0.127, 0.624], [0.250, 0.250, 0.250], [0.127, 0.624, 0.624], [0.624, 0.624, 0.624], [0.000, 0.000, 0.000]]}

{"formula": "CaCd2AsCl", "functional": "PBE", "state": "relaxed", "vol_a3_per_fu": 148.29, "crystal_system": "tetragonal", "final_energy_ev_per_atom": -2.137, "lattice_angstrom": [[-3.872, 1.428, 3.429], [-2.372, -4.501, -0.804], [2.774, -2.183, 4.041]], "species": ["As", "Cl", "Cd", "Cd", "Ca"], "frac_coords": [[0.500, 0.500, 0.500], [0.000, 0.000, 0.000], [0.000, 0.000, 0.500], [0.500, 0.000, 0.000], [0.000, 0.500, 0.000]]}